CoOsBr2 | PBE | optimized geometry

Properties
The calculation puts the formation energy (no corrections) at 1.16 eV/atom. The energy above the most stable polymorph in this dataset is 720 meV/atom.

The structure in POSCAR format:
```
CoOsBr2
1.0
-2.816 2.816 5.423
2.816 -2.816 5.423
2.816 2.816 -5.423
Co Os Br
2 2 4
direct
0.000 0.000 0.000
0.750 0.250 0.500
0.250 0.750 0.500
0.500 0.500 0.000
0.112 0.625 0.987
0.375 0.362 0.487
0.638 0.125 0.013
0.875 0.888 0.513
```


CoOs2Br | PBE | optimized geometry

Properties
The calculation puts the formation energy (no corrections) at 1.21 eV/atom. The energy above the most stable polymorph in this dataset is 499 meV/atom.

The structure in POSCAR format:
```
CoOs2Br
1.0
2.790 0.000 0.000
0.000 4.621 0.000
0.000 0.000 4.670
Co Os Br
1 2 1
direct
0.000 0.000 0.000
0.000 0.500 0.500
0.500 0.500 0.000
0.500 0.000 0.500
```


Co2OsBr | PBE | optimized geometry

Properties
The calculation puts the formation energy (no corrections) at 1.02 eV/atom. The energy above the most stable polymorph in this dataset is 456 meV/atom.

The structure in POSCAR format:
```
Co2OsBr
1.0
-1.434 2.252 4.307
1.434 -2.252 4.307
1.434 2.252 -4.307
Co Os Br
2 1 1
direct
0.242 0.242 0.000
0.758 0.758 0.000
0.500 0.000 0.500
0.000 0.500 0.500
```


CoOsBr2 | PBE | optimized geometry

Properties
The calculation puts the formation energy (no corrections) at 1.20 eV/atom. The energy above the most stable polymorph in this dataset is 758 meV/atom.

The structure in POSCAR format:
```
CoOsBr2
1.0
3.126 -4.053 0.000
3.126 4.053 0.000
-0.009 0.000 3.006
Co Os Br
1 1 2
direct
0.000 0.000 0.000
0.500 0.500 0.000
0.000 0.500 0.000
0.500 0.000 0.000
```


Co2OsBr | PBE | optimized geometry

Properties
The calculation puts the formation energy (no corrections) at 0.65 eV/atom. The energy above the most stable polymorph in this dataset is 88 meV/atom.

The structure in POSCAR format:
```
Co2OsBr
1.0
1.420 0.820 8.095
-1.420 0.820 8.095
0.000 -1.639 8.095
Co Os Br
2 1 1
direct
0.248 0.248 0.248
0.752 0.752 0.752
0.500 0.500 0.500
0.000 0.000 0.000
```


CoOsBr2 | PBE | optimized geometry

Properties
The calculation puts the formation energy (no corrections) at 0.85 eV/atom. The energy above the most stable polymorph in this dataset is 406 meV/atom.

The structure in POSCAR format:
```
CoOsBr2
1.0
4.868 0.000 0.000
0.000 3.756 0.000
-0.452 0.000 5.343
Co Os Br
1 1 2
direct
0.000 0.000 0.000
0.500 0.000 0.000
0.278 0.500 0.748
0.722 0.500 0.252
```


Co2OsBr2 | PBE | optimized geometry

Properties
The calculation puts the formation energy (no corrections) at 1.45 eV/atom.

The structure in POSCAR format:
```
Co2OsBr2
1.0
-2.028 2.028 5.570
2.028 -2.028 5.570
2.028 2.028 -5.570
Co Os Br
2 1 2
direct
0.099 0.099 0.000
0.901 0.901 0.000
0.500 0.500 0.000
0.250 0.750 0.500
0.750 0.250 0.500
```


CoOsBr2 | PBE | optimized geometry

Properties
The calculation puts the formation energy (no corrections) at 1.10 eV/atom. The energy above the most stable polymorph in this dataset is 659 meV/atom.

The structure in POSCAR format:
```
CoOsBr2
1.0
1.575 0.909 7.788
-1.575 0.909 7.788
0.000 -1.819 7.788
Co Os Br
1 1 2
direct
0.000 0.000 0.000
0.500 0.500 0.500
0.257 0.257 0.257
0.743 0.743 0.743
```


Please write out number 4 again, unchanged.
CoOsBr2 | PBE | optimized geometry

Properties
The calculation puts the formation energy (no corrections) at 1.20 eV/atom. The energy above the most stable polymorph in this dataset is 758 meV/atom.

The structure in POSCAR format:
```
CoOsBr2
1.0
3.126 -4.053 0.000
3.126 4.053 0.000
-0.009 0.000 3.006
Co Os Br
1 1 2
direct
0.000 0.000 0.000
0.500 0.500 0.000
0.000 0.500 0.000
0.500 0.000 0.000
```


> Which value of formation energy (no corrections) does entry 5 give?

0.65 eV/atom